Run i
BaSiF2 | PBE | relaxed

a = 6.818 Å, b = 6.818 Å, c = 6.818 Å
α = 90.00°, β = 90.00°, γ = 90.00°
Space group Fm-3m (No. 225)
Unique sites:
Ba 0.000 0.000 0.000
Si 0.000 0.000 0.500
F 0.250 0.250 0.250

Run ii
BaSiF2 | PBE | relaxed

a = 4.909 Å, b = 4.909 Å, c = 15.735 Å
α = 90.00°, β = 90.00°, γ = 90.00°
Space group I-42d (No. 122)
Unique sites:
Ba 0.000 0.000 0.000
Si 0.000 0.000 0.500
F 0.238 0.250 0.625

Relative energies, unit meV/atom: run i 102; run ii 0

Run i
BaSiF3 | PBE | relaxed

a = 4.516 Å, b = 4.516 Å, c = 4.516 Å
α = 90.00°, β = 90.00°, γ = 90.00°
Space group Pm-3m (No. 221)
Unique sites:
Ba 0.000 0.000 0.000
Si 0.500 0.500 0.500
F 0.000 0.500 0.500

Run ii
BaSiF3 | PBE | relaxed

a = 5.057 Å, b = 5.057 Å, c = 5.057 Å
α = 90.00°, β = 90.00°, γ = 90.00°
Space group Pm-3m (No. 221)
Unique sites:
Ba 0.000 0.000 0.000
Si 0.500 0.500 0.500
F 0.000 0.000 0.500

Relative energies, unit meV/atom: run i 0; run ii 276

Run i
BaSiF | PBE | relaxed

a = 7.302 Å, b = 4.227 Å, c = 9.520 Å
α = 90.00°, β = 104.88°, γ = 90.00°
Space group C2/m (No. 12)
Unique sites:
Ba 0.098 0.000 0.293
Si 0.152 0.500 0.957
F 0.198 0.000 0.593

Run ii
BaSiF | PBE | relaxed

a = 3.652 Å, b = 4.483 Å, c = 19.246 Å
α = 90.00°, β = 90.00°, γ = 90.00°
Space group Immm (No. 71)
Unique sites:
Ba 0.000 0.000 0.160
Si 0.000 0.250 0.000
F 0.000 0.000 0.302

Relative energies, unit meV/atom: run i 0; run ii 528

Run i
Ba2SnF | PBE | relaxed

a = 4.1424 Å, b = 4.1424 Å, c = 29.9708 Å
α = 90.00°, β = 90.00°, γ = 120.00°
Space group R-3m (No. 166, hexagonal axes)
Unique sites:
Ba 0.0000 0.0000 0.1127
Sn 0.0000 0.0000 0.0000
F 0.0000 0.0000 0.5000

Run ii
Ba2SnF | PBE | relaxed

a = 8.093 Å, b = 8.093 Å, c = 8.781 Å
α = 90.00°, β = 90.00°, γ = 90.00°
Space group I-42d (No. 122)
Unique sites:
Ba 0.171 0.250 0.125
Sn 0.000 0.000 0.500
F 0.000 0.000 0.000

Run iii
Ba2SnF | PBE | relaxed

a = 7.099 Å, b = 6.887 Å, c = 13.149 Å
α = 90.00°, β = 116.88°, γ = 90.00°
Space group P2/c (No. 13)
Unique sites:
Ba 0.003 0.237 0.418
Ba 0.323 0.224 0.850
Sn 0.471 0.283 0.356
F 0.028 0.143 0.631

Relative energies, unit meV/atom: run i 600; run ii 104; run iii 0

Run i
Ba2SnF | PBE | relaxed

a = 3.786 Å, b = 3.786 Å, c = 8.437 Å
α = 90.00°, β = 90.00°, γ = 90.00°
Space group P4/mmm (No. 123)
Unique sites:
Ba 0.000 0.000 0.228
Sn 0.500 0.500 0.500
F 0.500 0.500 0.000

Run ii
Ba2SnF | PBE | relaxed

a = 8.207 Å, b = 8.207 Å, c = 8.207 Å
α = 90.00°, β = 90.00°, γ = 90.00°
Space group Fm-3m (No. 225)
Unique sites:
Ba 0.250 0.250 0.250
Sn 0.000 0.000 0.000
F 0.000 0.000 0.500

Relative energies, unit meV/atom: run i 0; run ii 176

Run i
BaSn2F2 | PBE | relaxed

a = 8.585 Å, b = 8.585 Å, c = 4.682 Å
α = 90.00°, β = 90.00°, γ = 90.00°
Space group P4/mbm (No. 127)
Unique sites:
Ba 0.000 0.000 0.000
Sn 0.117 0.383 0.000
F 0.144 0.356 0.500

Run ii
BaSn2F2 | PBE | relaxed

a = 5.115 Å, b = 5.115 Å, c = 9.768 Å
α = 90.00°, β = 90.00°, γ = 90.00°
Space group I4/mmm (No. 139)
Unique sites:
Ba 0.000 0.000 0.000
Sn 0.000 0.000 0.350
F 0.000 0.500 0.250

Relative energies, unit meV/atom: run i 54; run ii 0

Run i
Ba2Sn2F | PBE | relaxed

a = 6.591 Å, b = 6.591 Å, c = 9.798 Å
α = 90.00°, β = 90.00°, γ = 90.00°
Space group I4/mmm (No. 139)
Unique sites:
Ba 0.000 0.500 0.250
Sn 0.000 0.000 0.136
F 0.000 0.000 0.500

Run ii
Ba2Sn2F | PBE | relaxed

a = 9.191 Å, b = 9.191 Å, c = 4.667 Å
α = 90.00°, β = 90.00°, γ = 90.00°
Space group P4/mbm (No. 127)
Unique sites:
Ba 0.190 0.310 0.000
Sn 0.104 0.604 0.500
F 0.000 0.000 0.500

Relative energies, unit meV/atom: run i 186; run ii 0

Run i
Ba4Sn2F | PBE | relaxed

a = 7.347 Å, b = 7.952 Å, c = 10.416 Å
α = 90.00°, β = 110.12°, γ = 90.00°
Space group P2_1/m (No. 11)
Unique sites:
Ba 0.175 0.250 0.068
Ba 0.252 0.501 0.731
Ba 0.295 0.750 0.362
Sn 0.202 0.250 0.420
Sn 0.354 0.750 0.034
F 0.072 0.250 0.796

Run ii
Ba4Sn2F | PBE | relaxed

a = 5.398 Å, b = 5.398 Å, c = 18.963 Å
α = 90.00°, β = 90.00°, γ = 90.00°
Space group I4/mmm (No. 139)
Unique sites:
Ba 0.000 0.000 0.183
Ba 0.000 0.500 0.000
Sn 0.000 0.000 0.370
F 0.000 0.000 0.000

Relative energies, unit meV/atom: run i 23; run ii 0

Run i
Ba2SrF | PBE | relaxed

a = 8.488 Å, b = 8.488 Å, c = 11.192 Å
α = 90.00°, β = 90.00°, γ = 90.00°
Space group I-42d (No. 122)
Unique sites:
Ba 0.078 0.250 0.125
Sr 0.000 0.000 0.500
F 0.000 0.000 0.000

Run ii
Ba2SrF | PBE | relaxed

a = 9.348 Å, b = 9.348 Å, c = 9.348 Å
α = 90.00°, β = 90.00°, γ = 90.00°
Space group Fm-3m (No. 225)
Unique sites:
Ba 0.250 0.250 0.250
Sr 0.000 0.000 0.000
F 0.000 0.000 0.500

Relative energies, unit meV/atom: run i 0; run ii 885

Run i
BaSrF2 | PBE | relaxed

a = 7.165 Å, b = 7.165 Å, c = 7.165 Å
α = 90.00°, β = 90.00°, γ = 90.00°
Space group Fm-3m (No. 225)
Unique sites:
Ba 0.000 0.000 0.000
Sr 0.000 0.000 0.500
F 0.250 0.250 0.250

Run ii
BaSrF2 | PBE | relaxed

a = 4.4842 Å, b = 4.4842 Å, c = 20.1666 Å
α = 90.00°, β = 90.00°, γ = 120.00°
Space group R-3m (No. 166, hexagonal axes)
Unique sites:
Ba 0.0000 0.0000 0.0000
Sr 0.0000 0.0000 0.5000
F 0.0000 0.0000 0.3787

Run iii
BaSrF2 | PBE | relaxed

a = 6.180 Å, b = 6.180 Å, c = 12.312 Å
α = 90.00°, β = 90.00°, γ = 90.00°
Space group I-42d (No. 122)
Unique sites:
Ba 0.000 0.000 0.000
Sr 0.000 0.000 0.500
F 0.218 0.250 0.625

Relative energies, unit meV/atom: run i 870; run ii 0; run iii 233

Run i
Ba3SrF | PBE | relaxed

a = 6.054 Å, b = 6.054 Å, c = 6.054 Å
α = 90.00°, β = 90.00°, γ = 90.00°
Space group Pm-3m (No. 221)
Unique sites:
Ba 0.000 0.000 0.500
Sr 0.500 0.500 0.500
F 0.000 0.000 0.000

Run ii
Ba3SrF | PBE | relaxed

a = 7.225 Å, b = 7.225 Å, c = 7.225 Å
α = 90.00°, β = 90.00°, γ = 90.00°
Space group Pm-3m (No. 221)
Unique sites:
Ba 0.000 0.000 0.500
Sr 0.000 0.000 0.000
F 0.500 0.500 0.500

Relative energies, unit meV/atom: run i 0; run ii 1198

Run i
BaSrF3 | PBE | relaxed

a = 4.956 Å, b = 4.956 Å, c = 4.956 Å
α = 90.00°, β = 90.00°, γ = 90.00°
Space group Pm-3m (No. 221)
Unique sites:
Ba 0.000 0.000 0.000
Sr 0.500 0.500 0.500
F 0.000 0.000 0.500

Run ii
BaSrF3 | PBE | relaxed

a = 4.842 Å, b = 4.842 Å, c = 4.842 Å
α = 90.00°, β = 90.00°, γ = 90.00°
Space group Pm-3m (No. 221)
Unique sites:
Ba 0.000 0.000 0.000
Sr 0.500 0.500 0.500
F 0.000 0.500 0.500

Relative energies, unit meV/atom: run i 238; run ii 0